A relaxed structure of Rb2PmMo3O12. Source: Alexandria, functional GGA+U.

The structure in POSCAR format:
```
Rb2PmMo3O12
1.0
-4.156 4.366 4.724
-7.227 1.887 -1.695
-5.877 -2.928 3.943
Rb Pm Mo O
2 1 3 12
Cartesian
-10.910 2.102 4.407 Rb
-6.349 1.223 2.565 Rb
0.000 0.000 0.000 Pm
-2.078 2.183 2.362 Mo
-3.613 0.943 -0.847 Mo
-2.938 -1.464 1.971 Mo
-8.844 -0.882 4.572 O
-12.597 4.652 4.229 O
-13.540 0.654 3.801 O
-7.748 3.763 5.069 O
-11.857 2.013 7.319 O
-9.704 2.184 0.982 O
-8.415 4.207 2.401 O
-4.662 -1.327 2.743 O
-3.718 2.671 3.171 O
-9.511 -0.439 1.903 O
-5.401 1.312 -0.347 O
-7.555 1.140 5.990 O
```

Symmetry ... No. 166
Uncorrected energy ... -6.6769 eV per atom